# PmYP2

A geometry-optimized PmYP2 structure (PBE, Alexandria).

The structure in CIF format:
```
data_PmYP2
_space_group_name_H-M_alt 'R 3 m'
_space_group_IT_number 160
_space_group_name_Hall 'R 3 -2"'
_cell_length_a 4.0360
_cell_length_b 4.0360
_cell_length_c 20.7821
_cell_angle_alpha 90.00
_cell_angle_beta 90.00
_cell_angle_gamma 120.00
loop_
_atom_site_label
_atom_site_type_symbol
_atom_site_fract_x
_atom_site_fract_y
_atom_site_fract_z
_atom_site_occupancy
Pm1 Pm 0.0000 0.0000 0.0000 1
Y1 Y 0.0000 0.0000 0.1716 1
P1 P 0.0000 0.0000 0.4207 1
P2 P 0.0000 0.0000 0.5850 1
```

Computed properties:
Energy above the most stable polymorph in this dataset: 178 meV/atom
Formation energy from the elements: -1.42 eV per atom